Entry 1:
VASP calculation (PBE-GGA) on BaUSnS6 after structural relaxation.

Values from the calculation:
E: -5.70 eV/atom
Space group: No. 163
Crystal system: trigonal
M_tot: 0.00 Bohr magnetons per cell

Cell lengths 6.6112, 6.6112, 14.1194 Å; angles 90.00, 90.00, 120.00 degrees
Last column: nearest neighbours and their distance in Å.
Element x y z (fractional)
S: 0.3753 0.0022 0.6420  1 U 2.57, 1 Sn 2.59
U: 0.3333 0.6667 0.2500  6 S 2.57
Ba: 0.0000 0.0000 0.5000  6 S 3.18
Sn: 0.3333 0.6667 0.7500  6 S 2.59
Ba: 0.0000 0.0000 0.0000  6 S 3.18
S: 0.9978 0.3731 0.6420  1 U 2.57, 1 Sn 2.59
S: 0.6247 0.6269 0.1420  1 U 2.57, 1 Sn 2.59
S: 0.3731 0.9978 0.1420  1 U 2.57, 1 Sn 2.59
S: 0.6269 0.0022 0.8580  1 U 2.57, 1 Sn 2.59
S: 0.6269 0.6247 0.6420  1 U 2.57, 1 Sn 2.59
U: 0.6667 0.3333 0.7500  6 S 2.57
S: 0.3753 0.3731 0.8580  1 U 2.57, 1 Sn 2.59
S: 0.3731 0.3753 0.3580  1 U 2.57, 1 Sn 2.59
S: 0.0022 0.3753 0.1420  1 U 2.57, 1 Sn 2.59
S: 0.0022 0.6269 0.3580  1 U 2.57, 1 Sn 2.59
Sn: 0.6667 0.3333 0.2500  6 S 2.59
S: 0.6247 0.9978 0.3580  1 U 2.57, 1 Sn 2.59
S: 0.9978 0.6247 0.8580  1 U 2.57, 1 Sn 2.59

Entry 2:
VASP calculation (PBE-GGA) on Ba2USnS6 after structural relaxation.

Values from the calculation:
E: -5.77 eV/atom
Space group: No. 123
Crystal system: tetragonal
M_tot: 1.11 Bohr magnetons per cell

Cell lengths 5.1939, 5.1939, 10.4025 Å; angles 90.00, 90.00, 90.00 degrees
Last column: nearest neighbours and their distance in Å.
Element x y z (fractional)
S: 0.0000 0.5000 0.5000  2 Sn 2.60
Sn: 0.5000 0.5000 0.5000  6 S 2.60-2.66
S: 0.5000 0.0000 0.0000  2 U 2.60
Ba: 0.0000 0.0000 0.2805  8 S 3.46-3.69
Ba: 0.0000 0.0000 0.7195  8 S 3.46-3.69
S: 0.5000 0.5000 0.7560  1 U 2.54, 1 Sn 2.66
U: 0.5000 0.5000 0.0000  6 S 2.54-2.60
S: 0.0000 0.5000 0.0000  2 U 2.60
S: 0.5000 0.5000 0.2440  1 U 2.54, 1 Sn 2.66
S: 0.5000 0.0000 0.5000  2 Sn 2.60

Entry 3:
VASP calculation (PBE-GGA) on Ba2USnS5 after structural relaxation.

Values from the calculation:
E: -5.86 eV/atom
Space group: No. 36
Crystal system: orthorhombic
M_tot: 4.00 Bohr magnetons per cell

Cell lengths 4.2500, 9.2608, 13.8887 Å; angles 90.00, 90.00, 103.27 degrees
Last column: nearest neighbours and their distance in Å.
Element x y z (fractional)
S: 0.2651 0.5301 0.6560  2 U 2.79
S: 0.0794 0.1588 0.0711  1 U 2.62, 2 Sn 2.78
S: 0.6918 0.3836 0.9038  1 Sn 2.73, 2 U 2.78
U: 0.7790 0.5580 0.5277  6 S 2.62-2.79
Ba: 0.0891 0.1783 0.6602  6 S 3.10-3.30
Ba: 0.9109 0.8217 0.1602  6 S 3.10-3.30
S: 0.7349 0.4699 0.1560  2 U 2.79
U: 0.2210 0.4420 0.0277  6 S 2.62-2.79
Ba: 0.1368 0.2735 0.3015  8 S 3.21-3.43
S: 0.5062 0.0123 0.2651  1 Sn 2.73
S: 0.6348 0.2696 0.4884  1 U 2.66
S: 0.9206 0.8412 0.5711  1 U 2.62, 2 Sn 2.78
Sn: 0.5446 0.0891 0.9502  4 S 2.73-2.78
Ba: 0.8632 0.7265 0.8015  8 S 3.21-3.43
S: 0.4938 0.9877 0.7651  1 Sn 2.73
S: 0.3652 0.7304 0.9884  1 U 2.66
S: 0.3082 0.6164 0.4038  1 Sn 2.73, 2 U 2.78
Sn: 0.4554 0.9109 0.4502  4 S 2.73-2.78

Entry 4:
VASP calculation (PBE-GGA) on Ba3SrS after structural relaxation.

Values from the calculation:
Energy relative to the lowest polymorph listed for this composition: 131.04 kJ/mol of atoms
E: -1.70 eV/atom
Space group: No. 221
Crystal system: cubic
M_tot: 0.98 Bohr magnetons per cell

Cell lengths 6.5031, 6.5031, 6.5031 Å; angles 90.00, 90.00, 90.00 degrees
Last column: nearest neighbours and their distance in Å.
Element x y z (fractional)
Ba: 0.5000 0.0000 0.0000  2 Sr 3.25
S: 0.5000 0.5000 0.5000  12 Ba 4.60
Ba: 0.0000 0.0000 0.5000  2 Sr 3.25
Sr: 0.0000 0.0000 0.0000  6 Ba 3.25
Ba: 0.0000 0.5000 0.0000  2 Sr 3.25

Entry 5:
VASP calculation (PBE-GGA) on Ba2SrS3 after structural relaxation.

Values from the calculation:
E: -5.07 eV/atom
Space group: No. 71
Crystal system: orthorhombic
M_tot: 0.00 Bohr magnetons per cell

Cell lengths 4.4640, 6.3472, 7.7653 Å; angles 114.12, 106.70, 90.00 degrees
Last column: nearest neighbours and their distance in Å.
Element x y z (fractional)
Ba: 0.1669 0.1669 0.8339  6 S 3.17-3.25
S: 0.1578 0.6578 0.8156  2 Sr 3.08, 4 Ba 3.18-3.25
Ba: 0.8331 0.8331 0.1661  6 S 3.17-3.25
S: 0.8422 0.3422 0.1844  2 Sr 3.08, 4 Ba 3.18-3.25
S: 0.5000 0.0000 0.5000  4 Ba 3.17, 2 Sr 3.17
Sr: 0.5000 0.5000 0.5000  6 S 3.08-3.17

Entry 6:
VASP calculation (PBE-GGA) on BaSr4S5 after structural relaxation.

Values from the calculation:
E: -5.05 eV/atom
Space group: No. 71
Crystal system: orthorhombic
M_tot: 0.00 Bohr magnetons per cell

Cell lengths 4.3388, 6.1612, 11.5081 Å; angles 105.53, 100.87, 90.00 degrees
Last column: nearest neighbours and their distance in Å.
Element x y z (fractional)
S: 0.0000 0.5000 0.0000  2 Ba 3.08, 4 Sr 3.10
Sr: 0.7977 0.7977 0.5955  6 S 3.01-3.08
Sr: 0.2023 0.2023 0.4045  6 S 3.01-3.08
S: 0.1992 0.6992 0.3985  6 Sr 3.03-3.08
S: 0.3938 0.8938 0.7877  4 Sr 3.01-3.08, 2 Ba 3.17
S: 0.6062 0.1062 0.2123  4 Sr 3.01-3.08, 2 Ba 3.17
Sr: 0.3981 0.3981 0.7961  6 S 3.03-3.10
Sr: 0.6019 0.6019 0.2039  6 S 3.03-3.10
Ba: 0.0000 0.0000 0.0000  6 S 3.08-3.17
S: 0.8008 0.3008 0.6015  6 Sr 3.03-3.08